Here is crystalline NiSnO2 at its relaxed geometry from Alexandria via LeMat-Bulk. Energies are from PBE+U.

Geometry as extended XYZ:
```
4
Lattice="5.267 -1.397 3.354 6.274 -1.186 0.426 5.877 1.384 2.119" Properties=species:S:1:pos:R:3 pbc="T T T"
Ni 8.709 -0.599 2.950
Sn 0.000 0.000 0.000
O 15.500 -1.067 5.250
O 1.918 -0.132 0.650
```

Values from the calculation:
DFT total energy: -20.1 eV/cell